1.
VASP calculation (SCAN) on TmAl3B4O12 at its PBEsol-relaxed geometry.

abc: 9.2841 9.2841 7.1715
angles: 90.00 90.00 120.00
Space group R32 (No. 155, hexagonal axes)
Asymmetric unit:
Tm1 0.0000 0.0000 0.0000
Al1 0.0000 0.5553 0.0000
B1 0.0000 0.0000 0.5000
B2 0.0000 0.4441 0.5000
O1 0.0000 0.5925 0.5000
O2 0.0000 0.8510 0.5000
O3 0.0326 0.2147 0.1857

- calculated volume (Å³/cell) = 535.33
- energy relative to the elements, uncorrected (eV per atom) = -3.14

=====

2.
VASP calculation (SCAN) on TiGa3Sn at its PBEsol-relaxed geometry.

abc: 5.102 5.102 5.102
angles: 90.00 90.00 90.00
Space group Pm-3m (No. 221)
Asymmetric unit:
Ti1 0.000 0.000 0.000
Ga1 0.000 0.500 0.500
Sn1 0.500 0.500 0.500

- formation enthalpy at 0 K (eV/f.u.) = 4.7
- calculated volume (Å³/cell) = 132.78

=====

3.
VASP calculation (SCAN) on SbIr at its PBEsol-relaxed geometry.

abc: 4.0171 4.0171 5.5250
angles: 90.00 90.00 120.00
Space group P6_3/mmc (No. 194)
Asymmetric unit:
Sb1 0.3333 0.6667 0.2500
Ir1 0.0000 0.0000 0.0000

- calculated volume (Å³/cell) = 77.21
- energy relative to the elements, uncorrected (eV per atom) = -0.27

=====

4.
VASP calculation (SCAN) on CdTeN2O at its PBEsol-relaxed geometry.

abc: 3.958 3.958 6.307
angles: 90.00 90.00 90.00
Space group P4/mmm (No. 123)
Asymmetric unit:
Cd1 0.000 0.000 0.000
Te1 0.000 0.000 0.500
N1 0.000 0.500 0.000
O1 0.500 0.500 0.500

- calculated volume (Å³/cell) = 98.78
- energy relative to the elements, uncorrected (eV per atom) = 1.91

=====

5.
VASP calculation (SCAN) on Zr6Te2Ru at its PBEsol-relaxed geometry.

abc: 7.7952 7.7952 3.5763
angles: 90.00 90.00 120.00
Space group P-62m (No. 189)
Asymmetric unit:
Zr1 0.0000 0.4052 0.0000
Zr2 0.0000 0.7511 0.5000
Te1 0.3333 0.6667 0.5000
Ru1 0.0000 0.0000 0.0000

- calculated volume (Å³/cell) = 188.20
- energy relative to the elements, uncorrected (eV per atom) = -0.69

=====

6.
VASP calculation (SCAN) on AlRh2 at its PBEsol-relaxed geometry.

abc: 2.878 13.020 4.273
angles: 90.00 90.00 90.00
Space group Cmcm (No. 63)
Asymmetric unit:
Al1 0.000 0.074 0.250
Rh1 0.000 0.271 0.750
Rh2 0.000 0.415 0.250

- formation enthalpy at 0 K (eV/f.u.) = -2.4
- calculated volume (Å³/cell) = 160.10

=====

7.
VASP calculation (SCAN) on ZrTc3 at its PBEsol-relaxed geometry.

abc: 3.113 4.474 8.885
angles: 90.00 90.00 90.00
Space group Immm (No. 71)
Asymmetric unit:
Zr1 0.000 0.000 0.000
Tc1 0.000 0.000 0.500
Tc2 0.000 0.500 0.246

- formation enthalpy at 0 K (eV/f.u.) = -0.5
- calculated volume (Å³/cell) = 123.75

=====

8.
VASP calculation (SCAN) on BaLa2Tl at its PBEsol-relaxed geometry.

abc: 7.993 7.993 7.993
angles: 90.00 90.00 90.00
Space group Fm-3m (No. 225)
Asymmetric unit:
Ba1 0.000 0.000 0.000
La1 0.250 0.250 0.250
Tl1 0.000 0.000 0.500

- formation enthalpy at 0 K (eV/f.u.) = -0.6
- calculated volume (Å³/cell) = 510.66

=====

9.
VASP calculation (SCAN) on MgBeZn2 at its PBEsol-relaxed geometry.

abc: 3.910 3.910 16.997
angles: 90.00 90.00 90.00
Space group I-42d (No. 122)
Asymmetric unit:
Mg1 0.000 0.000 0.000
Be1 0.000 0.000 0.500
Zn1 0.193 0.250 0.625

- formation enthalpy at 0 K (eV/f.u.) = 1.4
- calculated volume (Å³/cell) = 259.90

=====

10.
VASP calculation (SCAN) on AlCuCl2 at its PBEsol-relaxed geometry.

abc: 3.099 6.164 8.376
angles: 90.00 90.00 90.00
Space group Imm2 (No. 44)
Asymmetric unit:
Al1 0.000 0.000 0.000
Cu1 0.000 0.500 0.722
Cl1 0.000 0.000 0.432
Cl2 0.000 0.500 0.289

- calculated volume (Å³/cell) = 160.00
- energy relative to the elements, uncorrected (eV per atom) = -0.54

=====

11.
VASP calculation (SCAN) on MgTlBr at its PBEsol-relaxed geometry.

abc: 5.0335 5.0335 3.6631
angles: 90.00 90.00 120.00
Space group P-6m2 (No. 187)
Asymmetric unit:
Mg1 0.0000 0.0000 0.0000
Tl1 0.3333 0.6667 0.5000
Br1 0.6667 0.3333 0.0000

- calculated volume (Å³/cell) = 80.38
- energy relative to the elements, uncorrected (eV per atom) = -0.36

=====

12.
VASP calculation (SCAN) on LaZrMn2 at its PBEsol-relaxed geometry.

abc: 3.543 4.140 10.672
angles: 90.00 90.00 90.00
Space group Amm2 (No. 38)
Asymmetric unit:
La1 0.000 0.000 0.000
Zr1 0.500 0.000 0.712
Mn1 0.000 0.000 0.276
Mn2 0.500 0.000 0.381

- formation enthalpy at 0 K (eV/f.u.) = 0.9
- calculated volume (Å³/cell) = 156.56

=====

Question: Among the records above, which one has the lowest calculated volume?
Answer: SbIr